Here is a relaxed structure of Ca4TmHg5 from the Alexandria database. Energies are from PBE.

Cell and atoms, written as CIF:
```
data_Ca4TmHg5
_chemical_formula_sum 'Ca4 Tm1 Hg5'
_cell_length_a 3.7570
_cell_length_b 3.7570
_cell_length_c 18.8579
_cell_angle_alpha 90.00
_cell_angle_beta 90.00
_cell_angle_gamma 90.00
_symmetry_space_group_name_H-M 'P 4/m m m'
_symmetry_Int_Tables_number 123
_symmetry_space_group_name_Hall '-P 4 2'
loop_
_atom_site_label
_atom_site_fract_x
_atom_site_fract_y
_atom_site_fract_z
_atom_site_occupancy
Ca1 0.0000 0.0000 0.1018 1
Ca2 0.0000 0.0000 0.3038 1
Tm1 0.0000 0.0000 0.5000 1
Hg1 0.5000 0.5000 0.0000 1
Hg2 0.5000 0.5000 0.2028 1
Hg3 0.5000 0.5000 0.4077 1
```

raw total energy = -0.1426 Ry per atom
ΔH_f (0 K) = -0.541 eV/atom